(1)
VASP calculation (GGA-PBE) on a relaxed structure of MnSeBr2.

Summary:
**Crystal system**: monoclinic

Lattice parameters (Å, degrees): 14.0815 3.5287 5.5967 90.00 100.13 90.00
Atoms (fractional coordinates):
Mn: 0.0000 0.0000 0.0000
Mn: 0.5000 0.5000 0.0000
Se: 0.1075 0.5000 0.8781
Se: 0.6075 0.0000 0.8781
Br: 0.0972 0.5000 0.3809
Br: 0.3683 0.0000 0.9644
Br: 0.5972 0.0000 0.3809
Br: 0.8683 0.5000 0.9644


(2)
VASP calculation (GGA-PBE) on a relaxed structure of Mn2SeBr.

Summary:
**Crystal system**: tetragonal

Lattice parameters (Å, degrees): 3.6835 3.6835 13.0990 90.00 90.00 90.00
Atoms (fractional coordinates):
Mn: 0.0000 0.0000 0.0000
Mn: 0.0000 0.5000 0.2500
Mn: 0.5000 0.0000 0.7500
Mn: 0.5000 0.5000 0.5000
Se: 0.0000 0.5000 0.7500
Se: 0.5000 0.0000 0.2500
Br: 0.0000 0.0000 0.5000
Br: 0.5000 0.5000 0.0000


(3)
VASP calculation (GGA-PBE) on a relaxed structure of Mn2SeBr.

Summary:
**Crystal system**: monoclinic

Lattice parameters (Å, degrees): 13.0216 3.6587 3.5909 90.00 90.02 90.00
Atoms (fractional coordinates):
Mn: 0.0000 0.0000 0.0000
Mn: 0.1840 0.0000 0.5013
Mn: 0.5000 0.5000 0.0000
Mn: 0.6840 0.5000 0.5013
Se: 0.0370 0.5000 0.5002
Se: 0.5370 0.0000 0.5002
Br: 0.2912 0.5000 0.9994
Br: 0.7912 0.0000 0.9994


(4)
VASP calculation (GGA-PBE) on a relaxed structure of MnSeBr.

Summary:
**Crystal system**: cubic

Lattice parameters (Å, degrees): 6.7448 6.7448 6.7448 90.00 90.00 90.00
Atoms (fractional coordinates):
Mn: 0.0000 0.0000 0.0000
Mn: 0.0000 0.5000 0.5000
Mn: 0.5000 0.0000 0.5000
Mn: 0.5000 0.5000 0.0000
Se: 0.2500 0.2500 0.2500
Se: 0.2500 0.7500 0.7500
Se: 0.7500 0.2500 0.7500
Se: 0.7500 0.7500 0.2500
Br: 0.0000 0.0000 0.5000
Br: 0.0000 0.5000 0.0000
Br: 0.5000 0.0000 0.0000
Br: 0.5000 0.5000 0.5000


(5)
VASP calculation (GGA-PBE) on a relaxed structure of MnSeBr2.

Summary:
**Crystal system**: monoclinic

Lattice parameters (Å, degrees): 6.5663 8.4249 4.9711 90.00 131.04 90.00
Atoms (fractional coordinates):
Mn: 0.0000 0.0000 0.0000
Mn: 0.5000 0.5000 0.0000
Se: 0.0000 0.5000 0.0000
Se: 0.5000 0.0000 0.0000
Br: 0.2500 0.2500 0.5000
Br: 0.2500 0.7500 0.5000
Br: 0.7500 0.2500 0.5000
Br: 0.7500 0.7500 0.5000


(6)
VASP calculation (GGA-PBE) on a relaxed structure of Mn2SeBr.

Summary:
**Crystal system**: orthorhombic

Lattice parameters (Å, degrees): 4.9643 5.4407 6.5008 90.00 90.00 90.00
Atoms (fractional coordinates):
Mn: 0.0000 0.0000 0.0000
Mn: 0.0000 0.5000 0.5000
Mn: 0.5000 0.0000 0.2734
Mn: 0.5000 0.5000 0.7734
Se: 0.0000 0.0000 0.3936
Se: 0.0000 0.5000 0.8936
Br: 0.5000 0.0000 0.8482
Br: 0.5000 0.5000 0.3482


(7)
VASP calculation (GGA-PBE) on a relaxed structure of Mn4SeBr.

Summary:
**Crystal system**: cubic

Lattice parameters (Å, degrees): 5.4739 5.4739 5.4739 60.00 60.00 60.00
Atoms (fractional coordinates):
Mn: 0.1246 0.1246 0.1246
Mn: 0.1246 0.1246 0.6261
Mn: 0.1246 0.6261 0.1246
Mn: 0.6261 0.1246 0.1246
Se: 0.7500 0.7500 0.7500
Br: 0.5000 0.5000 0.5000


(8)
VASP calculation (GGA-PBE) on a relaxed structure of Mn2SeBr.

Summary:
**Crystal system**: tetragonal

Lattice parameters (Å, degrees): 5.3948 5.3948 10.6122 90.00 90.00 90.00
Atoms (fractional coordinates):
Mn: 0.2418 0.2500 0.1250
Mn: 0.2500 0.7418 0.3750
Mn: 0.2500 0.7582 0.8750
Mn: 0.2582 0.2500 0.6250
Mn: 0.7418 0.7500 0.6250
Mn: 0.7500 0.2418 0.8750
Mn: 0.7500 0.2582 0.3750
Mn: 0.7582 0.7500 0.1250
Se: 0.0000 0.0000 0.0000
Se: 0.0000 0.5000 0.2500
Se: 0.5000 0.0000 0.7500
Se: 0.5000 0.5000 0.5000
Br: 0.0000 0.0000 0.5000
Br: 0.0000 0.5000 0.7500
Br: 0.5000 0.0000 0.2500
Br: 0.5000 0.5000 0.0000


| no. | calculated density (g/cm³) | ΔE_f (raw) (eV/f.u.) |
| --- | --- | --- |
| 1 | 3.56 | -1.52 |
| 2 | 5.02 | 0.38 |
| 3 | 5.22 | -0.78 |
| 4 | 4.63 | 1.23 |
| 5 | 4.70 | 0.44 |
| 6 | 5.08 | -0.49 |
| 7 | 5.42 | 3.65 |
| 8 | 5.78 | 1.98 |